{"formula": "TbPr4Tl3", "functional": "PBE", "state": "relaxed", "formation_energy_mev_per_atom": -241.2, "dft_energy_ev_per_atom": -4.10, "polymorph_energy_mev_per_atom": 27.0, "cell": [[-0.039, -5.490, 0.913], [2.832, -3.402, -3.374], [8.512, -2.104, 4.676]], "species": ["Pr", "Pr", "Pr", "Pr", "Tl", "Tl", "Tl", "Tb"], "frac_coords": [[0.868, 0.868, 0.395], [0.386, 0.386, 0.842], [0.132, 0.132, 0.605], [0.614, 0.614, 0.158], [0.264, 0.264, 0.208], [0.736, 0.736, 0.792], [0.500, 0.500, 0.500], [0.000, 0.000, 0.000]]}

{"formula": "BaMg2ScPt", "functional": "PBE", "state": "relaxed", "formation_energy_mev_per_atom": -411.4, "dft_energy_ev_per_atom": -3.91, "cell": [[5.263, 0.000, 0.000], [0.000, 5.263, 0.000], [0.000, 0.000, 5.107]], "species": ["Sc", "Mg", "Mg", "Ba", "Pt"], "frac_coords": [[0.000, 0.000, 0.500], [0.000, 0.500, 0.000], [0.500, 0.000, 0.000], [0.500, 0.500, 0.500], [0.000, 0.000, 0.000]]}

{"formula": "ReAuS2Cl", "functional": "PBE", "state": "relaxed", "dft_energy_ev_per_atom": -3.76, "raw_formation_energy_ev_per_atom": 1.402, "polymorph_energy_mev_per_atom": 963.9, "cell": [[-0.938, -0.171, 4.804], [2.768, -4.021, 0.397], [3.848, 2.733, 0.848]], "species": ["Re", "S", "S", "Au", "Cl"], "frac_coords": [[0.500, 0.500, 0.500], [0.000, 0.500, 0.000], [0.500, 0.000, 0.000], [0.000, 0.000, 0.000], [0.000, 0.000, 0.500]]}

{"formula": "Fe2Rh3", "functional": "PBE", "state": "relaxed", "formation_energy_mev_per_atom": 118.1, "dft_energy_ev_per_atom": -7.68, "polymorph_energy_mev_per_atom": 124.8, "cell": [[0.000, 2.257, 10.746], [1.430, 0.000, 10.746], [1.430, 2.257, 0.000]], "species": ["Fe", "Fe", "Rh", "Rh", "Rh"], "frac_coords": [[0.099, 0.099, 0.901], [0.901, 0.901, 0.099], [0.500, 0.500, 0.500], [0.305, 0.305, 0.695], [0.695, 0.695, 0.305]]}